VASP calculation (PBE) on an optimized crystal structure of NbZnIrO6.

Results
Uncorrected formation energy: -144 kJ per mole of atoms
Total DFT energy (no corrections): -7.044 eV per atom
Space-group type: P4_2nm
Crystal system: tetragonal

a = 4.736 Å, b = 4.736 Å, c = 9.335 Å
α = 90.00°, β = 90.00°, γ = 90.00°
Fractional positions:
O (0.301, 0.301, 0.678)
O (0.810, 0.190, 0.499)
O (0.710, 0.710, 0.322)
O (0.290, 0.290, 0.322)
O (0.801, 0.199, 0.178)
O (0.690, 0.690, 0.999)
O (0.310, 0.310, 0.999)
O (0.210, 0.790, 0.822)
O (0.190, 0.810, 0.499)
O (0.699, 0.699, 0.678)
O (0.790, 0.210, 0.822)
O (0.199, 0.801, 0.178)
Zn (0.000, 0.000, 0.000)
Zn (0.500, 0.500, 0.500)
Nb (0.500, 0.500, 0.169)
Nb (0.000, 0.000, 0.669)
Ir (0.500, 0.500, 0.833)
Ir (0.000, 0.000, 0.333)